{"formula": "TeOsO2", "functional": "PBE-GGA", "state": "optimized geometry", "dos_at_fermi_per_ev_cell": 9.1, "crystal_system": "trigonal", "spacegroup": "R-3m, No. 166", "dft_energy_ev_per_cell": -73.367, "volume_a3_per_cell": 172, "raw_formation_energy_ev_per_atom": -0.0419, "total_magnetization_mub_per_fu": 0.00, "lattice_angstrom": [[2.961, 0.000, 0.000], [-1.481, 2.565, 0.000], [0.000, 0.000, 22.711]], "species": ["Te", "Te", "Te", "Os", "Os", "Os", "O", "O", "O", "O", "O", "O"], "frac_coords": [[0.000, 0.000, 0.000], [0.333, 0.667, 0.667], [0.667, 0.333, 0.333], [0.000, 0.000, 0.500], [0.333, 0.667, 0.167], [0.667, 0.333, 0.833], [0.000, 0.000, 0.420], [0.000, 0.000, 0.580], [0.333, 0.667, 0.086], [0.333, 0.667, 0.247], [0.667, 0.333, 0.753], [0.667, 0.333, 0.914]]}